No. 1
# Pm4MgGa3, optimized geometry, DFT PBE
data_Pm4MgGa3
_symmetry_space_group_name_H-M 'P m m 2'
_symmetry_Int_Tables_number 25
_cell_length_a 4.260
_cell_length_b 4.367
_cell_length_c 11.635
_cell_angle_alpha 90.00
_cell_angle_beta 90.00
_cell_angle_gamma 90.00
loop_
_symmetry_equiv_pos_as_xyz
'x,y,z'
'-x,-y,z'
'-x,y,z'
'x,-y,z'
loop_
_atom_site_label
_atom_site_type_symbol
_atom_site_fract_x
_atom_site_fract_y
_atom_site_fract_z
Pm1 Pm 0.000 0.000 0.000
Pm2 Pm 0.000 0.500 0.478
Pm3 Pm 0.500 0.000 0.274
Pm4 Pm 0.500 0.500 0.794
Mg1 Mg 0.500 0.000 0.578
Ga1 Ga 0.000 0.000 0.730
Ga2 Ga 0.000 0.500 0.206
Ga3 Ga 0.500 0.500 0.068
# * raw total energy: -32.94 eV for the cell shown
# * ΔE to the lowest computed polymorph: 0.040 eV/atom
# * size of the total moment: 0.000 μB/atom
# * formation energy from the elements: -3.27 eV per formula unit

***

No. 2
# Pm2MgGa, optimized geometry, DFT PBE
data_Pm2MgGa
_symmetry_space_group_name_H-M 'P 4/m m m'
_symmetry_Int_Tables_number 123
_symmetry_space_group_name_Hall '-P 4 2'
_cell_length_a 3.720
_cell_length_b 3.720
_cell_length_c 7.732
_cell_angle_alpha 90.00
_cell_angle_beta 90.00
_cell_angle_gamma 90.00
loop_
_atom_site_label
_atom_site_type_symbol
_atom_site_fract_x
_atom_site_fract_y
_atom_site_fract_z
Pm1 Pm 0.000 0.000 0.231
Mg1 Mg 0.500 0.500 0.500
Ga1 Ga 0.500 0.500 0.000
# * raw total energy: -15.46 eV for the cell shown
# * ΔE to the lowest computed polymorph: 0.007 eV/atom
# * size of the total moment: 0.000 μB/atom
# * formation energy from the elements: -1.33 eV per formula unit

***

No. 3
# PmMgGa6, optimized geometry, DFT PBE
data_PmMgGa6
_symmetry_space_group_name_H-M 'P m m 2'
_symmetry_Int_Tables_number 25
_cell_length_a 4.407
_cell_length_b 6.496
_cell_length_c 5.582
_cell_angle_alpha 90.00
_cell_angle_beta 90.00
_cell_angle_gamma 90.00
loop_
_symmetry_equiv_pos_as_xyz
'x,y,z'
'-x,-y,z'
'-x,y,z'
'x,-y,z'
loop_
_atom_site_label
_atom_site_type_symbol
_atom_site_fract_x
_atom_site_fract_y
_atom_site_fract_z
Pm1 Pm 0.000 0.000 0.000
Mg1 Mg 0.500 0.500 0.285
Ga1 Ga 0.000 0.265 0.485
Ga2 Ga 0.000 0.500 0.957
Ga3 Ga 0.500 0.000 0.418
Ga4 Ga 0.500 0.284 0.797
# * raw total energy: -26.55 eV for the cell shown
# * size of the total moment: 0.000 μB/atom
# * formation energy from the elements: -2.04 eV per formula unit

***

No. 4
# PmMgGa, optimized geometry, DFT PBE
data_PmMgGa
_symmetry_space_group_name_H-M 'P 3 m 1'
_symmetry_Int_Tables_number 156
_cell_length_a 4.7675
_cell_length_b 4.7675
_cell_length_c 3.6853
_cell_angle_alpha 90.00
_cell_angle_beta 90.00
_cell_angle_gamma 120.00
loop_
_symmetry_equiv_pos_as_xyz
'x,y,z'
'-y,x-y,z'
'-x+y,-x,z'
'-y,-x,z'
'-x+y,y,z'
'x,x-y,z'
loop_
_atom_site_label
_atom_site_type_symbol
_atom_site_fract_x
_atom_site_fract_y
_atom_site_fract_z
Pm1 Pm 0.0000 0.0000 0.0000
Mg1 Mg 0.3333 0.6667 0.4996
Ga1 Ga 0.6667 0.3333 0.5013
# * raw total energy: -10.56 eV for the cell shown
# * ΔE to the lowest computed polymorph: 0.103 eV/atom
# * size of the total moment: 0.000 μB/atom
# * formation energy from the elements: -1.19 eV per formula unit

***

No. 5
# Pm3Mg2Ga3, optimized geometry, DFT PBE
data_Pm3Mg2Ga3
_symmetry_space_group_name_H-M 'I m m m'
_symmetry_Int_Tables_number 71
_symmetry_space_group_name_Hall '-I 2 2'
_cell_length_a 3.632
_cell_length_b 5.102
_cell_length_c 21.139
_cell_angle_alpha 90.00
_cell_angle_beta 90.00
_cell_angle_gamma 90.00
loop_
_atom_site_label
_atom_site_type_symbol
_atom_site_fract_x
_atom_site_fract_y
_atom_site_fract_z
Pm1 Pm 0.000 0.000 0.000
Pm2 Pm 0.000 0.500 0.121
Mg1 Mg 0.000 0.000 0.241
Ga1 Ga 0.000 0.000 0.500
Ga2 Ga 0.000 0.500 0.365
# * raw total energy: -58.90 eV for the cell shown
# * ΔE to the lowest computed polymorph: 0.038 eV/atom
# * size of the total moment: 0.000 μB/atom
# * formation energy from the elements: -2.93 eV per formula unit

***

No. 6
# Pm5MgGa3, optimized geometry, DFT PBE
data_Pm5MgGa3
_symmetry_space_group_name_H-M 'P 63/m c m'
_symmetry_Int_Tables_number 193
_symmetry_space_group_name_Hall '-P 6c 2'
_cell_length_a 9.1584
_cell_length_b 9.1584
_cell_length_c 6.5612
_cell_angle_alpha 90.00
_cell_angle_beta 90.00
_cell_angle_gamma 120.00
loop_
_atom_site_label
_atom_site_type_symbol
_atom_site_fract_x
_atom_site_fract_y
_atom_site_fract_z
Pm1 Pm 0.0000 0.3118 0.2500
Pm2 Pm 0.3333 0.6667 0.0000
Mg1 Mg 0.0000 0.0000 0.0000
Ga1 Ga 0.0000 0.3505 0.7500
# * raw total energy: -76.09 eV for the cell shown
# * size of the total moment: 0.000 μB/atom
# * formation energy from the elements: -3.61 eV per formula unit

***

No. 7
# Pm3Mg2Ga, optimized geometry, DFT PBE
data_Pm3Mg2Ga
_symmetry_space_group_name_H-M 'C m m m'
_symmetry_Int_Tables_number 65
_symmetry_space_group_name_Hall '-C 2 2'
_cell_length_a 5.364
_cell_length_b 16.213
_cell_length_c 3.764
_cell_angle_alpha 90.00
_cell_angle_beta 90.00
_cell_angle_gamma 90.00
loop_
_atom_site_label
_atom_site_type_symbol
_atom_site_fract_x
_atom_site_fract_y
_atom_site_fract_z
Pm1 Pm 0.000 0.000 0.000
Pm2 Pm 0.000 0.345 0.000
Mg1 Mg 0.000 0.175 0.500
Ga1 Ga 0.000 0.500 0.500
# * raw total energy: -44.11 eV for the cell shown
# * ΔE to the lowest computed polymorph: 0.000 eV/atom
# * size of the total moment: 0.000 μB/atom
# * formation energy from the elements: -1.58 eV per formula unit

***

No. 8
# PmMgGa2, optimized geometry, DFT PBE
data_PmMgGa2
_symmetry_space_group_name_H-M 'P n m a'
_symmetry_Int_Tables_number 62
_cell_length_a 14.218
_cell_length_b 4.354
_cell_length_c 11.566
_cell_angle_alpha 90.00
_cell_angle_beta 90.00
_cell_angle_gamma 90.00
loop_
_symmetry_equiv_pos_as_xyz
'x,y,z'
'-x,-y,-z'
'-x+1/2,-y,z+1/2'
'x+1/2,y,-z+1/2'
'x+1/2,-y+1/2,-z+1/2'
'-x+1/2,y+1/2,z+1/2'
'-x,y+1/2,-z'
'x,-y+1/2,z'
loop_
_atom_site_label
_atom_site_type_symbol
_atom_site_fract_x
_atom_site_fract_y
_atom_site_fract_z
Pm1 Pm 0.055 0.250 0.238
Pm2 Pm 0.198 0.750 0.956
Mg1 Mg 0.062 0.250 0.549
Mg2 Mg 0.195 0.750 0.657
Ga1 Ga 0.036 0.250 0.970
Ga2 Ga 0.112 0.250 0.777
Ga3 Ga 0.135 0.750 0.431
Ga4 Ga 0.210 0.750 0.237
# * raw total energy: -115.30 eV for the cell shown
# * size of the total moment: 0.000 μB/atom
# * formation energy from the elements: -2.01 eV per formula unit